Entry from Alexandria via LeMat-Bulk: VGaNi6 after structural relaxation (PBE).

abc: 3.573 3.573 7.098
angles: 90.00 90.00 90.00
Space group P4/mmm (No. 123)
One atom of each set of equivalent atoms:
V (0.000, 0.000, 0.000) x1
Ga (0.000, 0.000, 0.500) x1
Ni (0.000, 0.500, 0.243) x4
Ni (0.500, 0.500, 0.000) x1
Ni (0.500, 0.500, 0.500) x1

## Properties
Formation energy from the elements (eV/atom): -0.300
Crystal system: tetragonal
E above lowest polymorph (meV/atom): 0
Electronic total energy (eV for the cell shown): -49.23